Entry 1:
Below is an optimized crystal structure of CrPd3N, with properties calculated at the GGA-PBE level.

Structure (POSCAR):
```
CrPd3N
1.0
-3.9259 -0.3580 -1.3207
-0.7378 -2.8256 2.9591
-1.1524 3.0286 2.6047
Pd Cr N
3 1 1
direct
0.0000 0.5000 0.0000
0.0000 0.0000 0.5000
0.5000 0.0000 0.0000
0.5000 0.5000 0.5000
0.0000 0.0000 0.0000
```

Results
The space group is Pm-3m, No. 221. The calculation puts the formation energy (no corrections) at 0.32 eV per atom.

Entry 2:
Below is an optimized crystal structure of AgSn2H, with properties calculated at the GGA-PBE level.

Structure (POSCAR):
```
AgSn2H
1.0
5.1000 0.0000 0.0000
0.0000 5.1000 0.0000
2.5500 2.5500 6.9575
Ag Sn H
2 4 2
direct
0.0000 0.0000 0.0000
0.7500 0.2500 0.5000
0.3750 0.4668 0.7500
0.8750 0.7832 0.7500
0.2168 0.6250 0.2500
0.5332 0.1250 0.2500
0.5000 0.5000 0.0000
0.2500 0.7500 0.5000
```

Results
The space group is I-42d, No. 122.

Entry 3:
Below is an optimized crystal structure of NaTl3Sn, with properties calculated at the GGA-PBE level.

Structure (POSCAR):
```
NaTl3Sn
1.0
-0.1267 -4.4596 3.9326
3.3352 -3.3097 -3.6458
4.9224 2.1277 2.5714
Sn Tl Na
1 3 1
direct
0.0000 0.0000 0.0000
0.5000 0.0000 0.0000
0.0000 0.0000 0.5000
0.0000 0.5000 0.0000
0.5000 0.5000 0.5000
```

Results
The space group is Pm-3m, No. 221.

Entry 4:
Below is an optimized crystal structure of Ac2Si3AgPd4, with properties calculated at the GGA-PBE level.

Structure (POSCAR):
```
Ac2Si3AgPd4
1.0
-1.7604 -3.5851 1.8988
3.1267 0.1199 3.1252
-6.0314 6.0350 5.8029
Pd Ac Si Ag
4 2 3 1
direct
0.0000 0.0000 0.0000
0.5000 0.0000 0.6466
0.5000 0.5000 0.0000
0.0000 0.5000 0.3534
0.0000 0.5000 0.7475
0.5000 0.0000 0.2525
0.0000 0.0000 0.5000
0.5000 0.0000 0.8826
0.0000 0.5000 0.1174
0.5000 0.5000 0.5000
```

Results
The space group is P-4m2, No. 115. The calculation puts the formation energy (no corrections) at -0.74 eV per atom.

Entry 5:
Below is an optimized crystal structure of SrIrCl6, with properties calculated at the GGA-PBE level.

Structure (POSCAR):
```
SrIrCl6
1.0
-2.0416 -5.1635 3.5913
-4.3492 -0.0538 -4.9809
6.4709 -1.5356 -2.6573
Cl Ir Sr
6 1 1
direct
0.2637 0.2637 0.9638
0.0310 0.7065 0.7335
0.7065 0.0310 0.7335
0.2935 0.9690 0.2665
0.9690 0.2935 0.2665
0.7363 0.7363 0.0362
0.0000 0.0000 0.0000
0.0000 0.0000 0.5000
```

Results
The space group is C2/m, No. 12. The calculation puts the formation energy (no corrections) at -1.15 eV per atom.

Entry 6:
Below is an optimized crystal structure of Ac6Tb4Sm, with properties calculated at the GGA-PBE level.

Structure (POSCAR):
```
Ac6Tb4Sm
1.0
7.8094 -2.5600 -5.3818
-5.2662 8.1696 1.4241
-1.6502 2.5600 9.3395
Tb Ac Sm
4 6 1
direct
0.6774 0.4411 0.4411
0.3226 0.7636 0.7636
0.0000 0.5589 0.2364
0.0000 0.2364 0.5589
0.5000 0.0000 0.5000
0.5000 0.5000 0.0000
0.0000 0.3763 0.9867
0.6104 0.6237 0.6237
0.3896 0.0133 0.0133
0.0000 0.9867 0.3763
0.0000 0.0000 0.0000
```

Results
The space group is I-42m, No. 121.

Entry 7:
Below is an optimized crystal structure of LaScAs2, with properties calculated at the GGA-PBE level.

Structure (POSCAR):
```
LaScAs2
1.0
3.5943 -0.0013 0.0000
-0.8999 3.4799 0.0000
0.0000 0.0000 7.5107
As Sc La
2 1 1
direct
0.0000 0.0000 0.5236
0.0000 0.0000 0.9764
0.5000 0.5000 0.7500
0.5000 0.5000 0.2500
```

Results
The space group is Cmmm, No. 65.

Entry 8:
Below is an optimized crystal structure of HfRuPt2, with properties calculated at the GGA-PBE level.

Structure (POSCAR):
```
HfRuPt2
1.0
-0.7453 -2.2618 3.0191
3.6577 0.3196 1.1424
-0.8129 6.6342 7.2182
Ru Pt Hf
2 4 2
direct
0.5000 0.5000 0.0000
0.2500 0.7500 0.5000
0.6152 0.1250 0.2500
0.3750 0.3848 0.7500
0.8750 0.8652 0.7500
0.1348 0.6250 0.2500
0.7500 0.2500 0.5000
0.0000 0.0000 0.0000
```

Results
The space group is I-42d, No. 122.

Final energy / eV per atom: -6.3814; -3.1819; -2.2680; -5.5557; -3.8512; -4.0378; -6.2202; -8.1206
V / Å³/atom: 14.37; 22.62; 42.07; 20.18; 33.33; 40.68; 23.48; 17.47